The following is a PBE calculation of an optimized crystal structure of Na2PrH6, from Alexandria via LeMat-Bulk.

Cell lengths 5.819, 5.819, 5.819 Å; angles 60.00, 60.00, 60.00 degrees
Atoms (fractional coordinates):
Pr 0.000 0.000 0.000
Na 0.750 0.750 0.750
Na 0.250 0.250 0.250
H 0.274 0.726 0.274
H 0.726 0.274 0.274
H 0.274 0.726 0.726
H 0.726 0.274 0.726
H 0.726 0.726 0.274
H 0.274 0.274 0.726

Values from the calculation:
Its space group is No. 225. As for the calculated volume: 15.48 A^3/atom. The total moment comes out at 0.000 μB per atom. As for the total energy: -24.36 eV/cell. For the theoretical density, the calculation gives 2300 kg/m³.